1.
A plane-wave DFT calculation with PBE-GGA was carried out for a relaxed Cr2TeI crystal.

Summary:
- N(E_F) (states/eV/f.u.) = 4.8
- formation energy (no corrections) (eV per atom) = 0.877
- symmetry = Fm-3m (225)
- offset from the most stable computed form (eV per atom) = 0.6739
- total energy (eV/atom) = -5.11
- size of the total moment (μB/atom) = 0.00

Cell: 4.609 4.609 4.609 Å, 60.00 60.00 60.00°
Element x y z (fractional)
Te 0.000 0.000 0.000
I 0.500 0.500 0.500
Cr 0.250 0.250 0.250
Cr 0.750 0.750 0.750

---

2.
A plane-wave DFT calculation with PBE-GGA was carried out for a relaxed Cr3TeI crystal.

Summary:
- N(E_F) (states/eV/f.u.) = 0.6
- formation energy (no corrections) (eV per atom) = 0.819
- symmetry = Pm-3m (221)
- offset from the most stable computed form (eV per atom) = 0.0000
- total energy (eV/atom) = -5.89
- size of the total moment (μB/atom) = 3.00

Cell: 5.392 5.392 5.392 Å, 90.00 90.00 90.00°
Element x y z (fractional)
Cr 0.500 0.000 0.000
Cr 0.000 0.000 0.500
Cr 0.000 0.500 0.000
I 0.500 0.500 0.500
Te 0.000 0.000 0.000

---

3.
A plane-wave DFT calculation with PBE-GGA was carried out for a relaxed Cr2TeI3 crystal.

Summary:
- N(E_F) (states/eV/f.u.) = 4.6
- formation energy (no corrections) (eV per atom) = -0.245
- symmetry = P-3m1 (164)
- total energy (eV/atom) = -4.75
- size of the total moment (μB/atom) = 1.17

Cell: 7.171 8.047 8.047 Å, 120.00 90.00 90.00°
Element x y z (fractional)
I 0.224 0.335 0.168
I 0.776 0.168 0.335
I 0.224 0.832 0.168
I 0.776 0.665 0.832
I 0.776 0.168 0.832
I 0.224 0.832 0.665
Cr 0.000 0.000 0.500
Cr 0.000 0.000 0.000
Cr 0.000 0.500 0.500
Cr 0.000 0.500 0.000
Te 0.207 0.333 0.667
Te 0.793 0.667 0.333

---

Q: Which value of size of the total moment does entry 1 give?
A: 0.00 μB/atom